Record 1
DFT (PBE) results for an optimized crystal structure of PmSm3N.

POSCAR file:
```
PmSm3N
1.0
5.096 0.000 0.000
0.000 5.096 0.000
0.000 0.000 5.096
Pm Sm N
1 3 1
Cartesian
0.000 0.000 0.000
0.000 2.548 2.548
2.548 0.000 2.548
2.548 2.548 0.000
2.548 2.548 2.548
```

## Properties
Uncorrected formation energy (meV/atom): -456.3


Record 2
DFT (PBE) results for an optimized crystal structure of Sr9Ca2Ac.

POSCAR file:
```
Sr9Ca2Ac
1.0
5.910 0.000 0.000
0.000 5.910 0.000
0.000 0.000 17.698
Sr Ca Ac
9 2 1
Cartesian
0.000 0.000 0.000
0.000 0.000 5.920
0.000 0.000 11.777
0.000 2.955 2.957
0.000 2.955 8.849
0.000 2.955 14.741
2.955 0.000 2.957
2.955 0.000 8.849
2.955 0.000 14.741
2.955 2.955 5.903
2.955 2.955 11.795
2.955 2.955 0.000
```

## Properties
Final energy (eV/cell): -22.7


Record 3
DFT (PBE) results for an optimized crystal structure of Ce2AsP.

POSCAR file:
```
Ce2AsP
1.0
5.878 0.000 0.000
0.000 5.878 0.000
0.000 0.000 11.744
Ce As P
8 4 4
Cartesian
0.000 1.469 1.422
0.000 1.469 7.386
0.000 4.408 4.358
0.000 4.408 10.322
2.939 1.469 4.450
2.939 1.469 10.230
2.939 4.408 1.514
2.939 4.408 7.294
0.000 1.469 4.404
0.000 4.408 7.340
2.939 1.469 1.468
2.939 4.408 10.276
0.000 1.469 10.276
0.000 4.408 1.468
2.939 1.469 7.340
2.939 4.408 4.404
```

## Properties
Final energy (eV/cell): -110.9


Record 4
DFT (PBE) results for an optimized crystal structure of PuPa2Ir.

POSCAR file:
```
PuPa2Ir
1.0
5.075 0.000 0.000
0.000 5.075 0.000
0.000 0.000 3.303
Pu Pa Ir
1 2 1
Cartesian
0.000 0.000 0.000
0.000 2.537 1.651
2.537 0.000 1.651
2.537 2.537 0.000
```

## Properties
E above lowest polymorph (meV/atom): 0


Record 5
DFT (PBE) results for an optimized crystal structure of SiSbRh2O.

POSCAR file:
```
SiSbRh2O
1.0
4.922 0.000 0.000
0.000 4.922 0.000
0.000 0.000 3.926
Si Sb Rh O
1 1 2 1
Cartesian
0.000 0.000 0.000
2.461 2.461 1.963
0.000 2.461 1.963
2.461 0.000 1.963
2.461 2.461 0.000
```

## Properties
Uncorrected formation energy (meV/atom): 586.2


Record 6
DFT (PBE) results for an optimized crystal structure of Pr3Sm4Se8.

POSCAR file:
```
Pr3Sm4Se8
1.0
5.945 -5.946 0.000
5.945 5.946 0.000
-5.925 0.000 5.948
Pr Sm Se
3 4 8
Cartesian
0.000 0.000 0.000
2.972 2.973 0.000
2.972 -2.973 0.000
0.010 2.973 2.974
0.010 -2.973 2.974
5.945 0.000 0.000
2.982 0.000 2.974
2.982 2.983 2.974
-0.004 0.000 3.003
-2.922 0.000 5.941
5.945 2.943 0.000
5.945 -2.943 0.000
8.886 0.000 0.007
5.968 0.000 2.944
2.982 -2.983 2.974
```

## Properties
Uncorrected formation energy (meV/atom): -1868.9


Record 7
DFT (PBE) results for an optimized crystal structure of Al2CrSb.

POSCAR file:
```
Al2CrSb
1.0
3.107 0.000 0.000
-1.554 2.691 0.000
0.000 0.000 26.232
Al Cr Sb
6 3 3
Cartesian
0.000 0.000 6.268
0.000 0.000 19.964
0.000 1.794 11.220
0.000 1.794 23.756
1.554 0.897 2.476
1.554 0.897 15.012
0.000 0.000 13.116
0.000 1.794 4.372
1.554 0.897 21.860
0.000 0.000 0.000
0.000 1.794 17.488
1.554 0.897 8.744
```

## Properties
Uncorrected formation energy (meV/atom): 267.4


Record 8
DFT (PBE) results for an optimized crystal structure of LiTe.

POSCAR file:
```
LiTe
1.0
3.599 0.000 0.000
0.000 3.599 0.000
0.000 0.000 3.599
Li Te
1 1
Cartesian
0.000 0.000 0.000
1.800 1.800 1.800
```

## Properties
Uncorrected formation energy (meV/atom): -540.1
E above lowest polymorph (meV/atom): 182


Record 9
DFT (PBE) results for an optimized crystal structure of ZrNi4Ir.

POSCAR file:
```
ZrNi4Ir
1.0
0.000 3.384 3.384
3.384 0.000 3.384
3.384 3.384 0.000
Zr Ni Ir
1 4 1
Cartesian
0.000 0.000 0.000
4.223 2.546 2.546
2.546 4.223 2.546
2.546 2.546 4.223
4.223 4.223 4.223
1.692 1.692 1.692
```

## Properties
Final energy (eV/cell): -42.8


Record 10
DFT (PBE) results for an optimized crystal structure of TcHRu3.

POSCAR file:
```
TcHRu3
1.0
3.880 0.000 0.000
0.000 3.880 0.000
0.000 0.000 3.880
Tc H Ru
1 1 3
Cartesian
0.000 0.000 0.000
1.940 1.940 1.940
0.000 1.940 1.940
1.940 0.000 1.940
1.940 1.940 0.000
```

## Properties
E above lowest polymorph (meV/atom): 89


Record 11
DFT (PBE) results for an optimized crystal structure of Tb4YTm4.

POSCAR file:
```
Tb4YTm4
1.0
-5.301 5.301 2.490
5.301 -5.301 2.490
5.301 5.301 -2.490
Tb Y Tm
4 1 4
Cartesian
3.529 0.000 0.000
7.072 0.000 0.000
0.000 3.529 0.000
0.000 7.072 0.000
0.000 0.000 0.000
3.530 3.530 0.000
1.771 -1.771 2.490
-1.771 1.771 2.490
1.771 1.771 2.490
```

## Properties
Final energy (eV/cell): -42.7


Record 12
DFT (PBE) results for an optimized crystal structure of K2VCrOs.

POSCAR file:
```
K2VCrOs
1.0
6.216 0.000 0.000
0.000 6.216 0.000
0.000 0.000 4.350
K V Cr Os
2 1 1 1
Cartesian
0.000 3.108 0.000
3.108 0.000 0.000
0.000 0.000 0.000
0.000 0.000 2.175
3.108 3.108 2.175
```

## Properties
Final energy (eV/cell): -20.7


Record 13
DFT (PBE) results for an optimized crystal structure of LiCa4Ag5.

POSCAR file:
```
LiCa4Ag5
1.0
3.644 0.000 0.000
0.000 3.644 0.000
0.000 0.000 18.003
Li Ca Ag
1 4 5
Cartesian
0.000 0.000 0.000
0.000 0.000 3.315
0.000 0.000 7.108
0.000 0.000 10.895
0.000 0.000 14.688
1.822 1.822 1.420
1.822 1.822 5.208
1.822 1.822 9.002
1.822 1.822 12.796
1.822 1.822 16.583
```

## Properties
Final energy (eV/cell): -27.0


Record 14
DFT (PBE) results for an optimized crystal structure of NdGaPd6.

POSCAR file:
```
NdGaPd6
1.0
4.126 0.000 0.000
0.000 4.126 0.000
0.000 0.000 7.916
Nd Ga Pd
1 1 6
Cartesian
0.000 0.000 0.000
0.000 0.000 3.958
0.000 2.063 2.162
0.000 2.063 5.754
2.063 0.000 2.162
2.063 0.000 5.754
2.063 2.063 0.000
2.063 2.063 3.958
```

## Properties
E above lowest polymorph (meV/atom): 0


Record 15
DFT (PBE) results for an optimized crystal structure of K2PtBr2.

POSCAR file:
```
K2PtBr2
1.0
7.771 0.000 0.000
0.000 7.771 0.000
0.000 0.000 4.780
K Pt Br
4 2 4
Cartesian
1.175 2.711 0.000
2.711 6.597 0.000
5.060 1.175 0.000
6.597 5.060 0.000
0.000 0.000 2.390
3.886 3.886 2.390
1.362 5.248 2.390
2.524 1.362 2.390
5.248 6.409 2.390
6.409 2.524 2.390
```

## Properties
Uncorrected formation energy (meV/atom): -687.3
E above lowest polymorph (meV/atom): 251


Record 16
DFT (PBE) results for an optimized crystal structure of TaMn2Cr.

POSCAR file:
```
TaMn2Cr
1.0
2.995 0.000 0.000
0.000 4.267 0.000
0.000 0.000 8.180
Ta Mn Cr
2 4 2
Cartesian
0.000 0.000 0.000
1.497 2.134 4.090
0.000 2.134 1.953
0.000 2.134 6.227
1.497 0.000 2.137
1.497 0.000 6.043
0.000 0.000 4.090
1.497 2.134 0.000
```

## Properties
Final energy (eV/cell): -79.1


Record 17
DFT (PBE) results for an optimized crystal structure of Sm4TmGa4.

POSCAR file:
```
Sm4TmGa4
1.0
-5.100 5.100 2.368
5.100 -5.100 2.368
5.100 5.100 -2.368
Sm Tm Ga
4 1 4
Cartesian
6.591 1.348 0.000
1.348 3.609 0.000
3.752 1.491 2.368
-1.491 3.752 2.368
0.000 0.000 0.000
4.384 3.383 0.000
1.717 -0.715 2.368
3.383 5.815 0.000
0.715 1.717 2.368
```

## Properties
Final energy (eV/cell): -38.9


Record 18
DFT (PBE) results for an optimized crystal structure of K2MoSe.

POSCAR file:
```
K2MoSe
1.0
4.119 0.000 0.000
0.000 4.325 0.000
0.000 0.000 11.076
K Mo Se
4 2 2
Cartesian
0.000 0.000 2.522
0.000 0.000 8.553
2.060 2.162 2.522
2.060 2.162 8.553
0.000 2.162 5.538
2.060 0.000 5.538
0.000 2.162 0.000
2.060 0.000 0.000
```

## Properties
Uncorrected formation energy (meV/atom): 639.8
E above lowest polymorph (meV/atom): 408


Record 19
DFT (PBE) results for an optimized crystal structure of SbPb6.

POSCAR file:
```
SbPb6
1.0
6.685 0.000 0.000
-3.342 5.789 0.000
0.000 0.000 6.059
Sb Pb
1 6
Cartesian
0.000 0.000 0.000
-1.360 2.355 1.540
-1.983 3.434 4.519
2.719 0.000 1.540
1.360 2.355 4.519
3.966 0.000 4.519
1.983 3.434 1.540
```

## Properties
Uncorrected formation energy (meV/atom): 143.9
E above lowest polymorph (meV/atom): 0


Record 20
DFT (PBE) results for an optimized crystal structure of CeNdTh2Bi4.

POSCAR file:
```
CeNdTh2Bi4
1.0
7.965 0.000 0.000
0.000 4.602 0.000
-2.660 0.000 7.527
Ce Nd Th Bi
1 1 2 4
Cartesian
0.000 0.000 0.000
-1.330 2.301 3.763
2.652 0.000 3.763
3.982 2.301 0.000
1.323 2.301 1.878
-0.006 0.000 5.649
5.310 0.000 1.878
3.981 2.301 5.648
```

## Properties
Final energy (eV/cell): -46.9


Number 1: spin magnetization 0.001 μB/atom. Number 2: spin magnetization 0.053 μB/atom. Number 3: spin magnetization 0.325 μB/atom. Number 4: spin magnetization 1.097 μB/atom. Number 5: spin magnetization 0.000 μB/atom. Number 6: spin magnetization 0.000 μB/atom. Number 7: spin magnetization 0.541 μB/atom. Number 8: spin magnetization 0.000 μB/atom. Number 9: spin magnetization 0.156 μB/atom. Number 10: spin magnetization 0.000 μB/atom. Number 11: spin magnetization 0.000 μB/atom. Number 12: spin magnetization 0.629 μB/atom. Number 13: spin magnetization 0.000 μB/atom. Number 14: spin magnetization 0.000 μB/atom. Number 15: spin magnetization 0.000 μB/atom. Number 16: spin magnetization 0.448 μB/atom. Number 17: spin magnetization 0.000 μB/atom. Number 18: spin magnetization 0.188 μB/atom. Number 19: spin magnetization 0.000 μB/atom. Number 20: spin magnetization 0.140 μB/atom.